Compound: CaAcTb
Source: the Alexandria database
Functional: GGA-PBE
Structure: optimized geometry

a b c (Å): 8.417 8.417 8.417
angles (deg): 153.56 153.56 37.74
Fractional coordinates of all 3 atoms:
Ca 0.000 0.000 0.000
Ac 0.683 0.683 0.000
Tb 0.337 0.337 0.000

Calculated values
Density of states at the Fermi level in states/eV/f.u.: 3.95
Calculated total energy in eV/f.u.: -10.6
ΔH_f (0 K) in eV/atom: 0.06
Energy above the most stable polymorph in this dataset in eV/atom: 0.010